Record 1
! Ca2InNi4Sb3 (PBE, optimized geometry); values from VASP
! formation energy from raw total energies: -0.483 eV/atom
! symmetry: P-4m2
! volume: 19.96 Å³ per atom
&SYSTEM
  ibrav = 0, nat = 10, ntyp = 4
/
ATOMIC_SPECIES
In 114.82 In.upf
Sb 121.76 Sb.upf
Ni 58.69 Ni.upf
Ca 40.08 Ca.upf
ATOMIC_POSITIONS crystal
In 0.5000 0.5000 0.5000
Sb 0.5000 0.0000 0.8729
Ni 0.0000 0.5000 0.3669
Ni 0.0000 0.0000 0.0000
Ni 0.5000 0.5000 0.0000
Ca 0.0000 0.5000 0.7624
Sb 0.0000 0.5000 0.1271
Sb 0.0000 0.0000 0.5000
Ni 0.5000 0.0000 0.6331
Ca 0.5000 0.0000 0.2376
CELL_PARAMETERS angstrom
4.3877 0.0000 0.0000
0.0000 4.3877 0.0000
0.0000 0.0000 10.3695

***

Record 2
! CaScIn2Ni (PBE, optimized geometry); values from VASP
! symmetry: P4/mmm
! energy relative to the elements: 1395.2 meV/atom
! volume: 33.85 Å³ per atom
&SYSTEM
  ibrav = 0, nat = 5, ntyp = 4
/
ATOMIC_SPECIES
In 114.82 In.upf
Ca 40.08 Ca.upf
Ni 58.69 Ni.upf
Sc 44.96 Sc.upf
ATOMIC_POSITIONS crystal
In 0.5000 0.0000 0.0000
In 0.0000 0.0000 0.5000
Ca 0.0000 0.0000 0.0000
Ni 0.5000 0.5000 0.5000
Sc 0.0000 0.5000 0.0000
CELL_PARAMETERS angstrom
5.6030 0.0000 0.0000
0.0000 5.3910 0.0000
0.0000 0.0000 5.6030

***

Record 3
! CaIn2Ni2Sn (PBE, optimized geometry); values from VASP
! symmetry: P4/mmm
! energy relative to the elements: -67.0 meV/atom
! volume: 23.00 Å³ per atom
&SYSTEM
  ibrav = 0, nat = 6, ntyp = 4
/
ATOMIC_SPECIES
Sn 118.71 Sn.upf
Ca 40.08 Ca.upf
In 114.82 In.upf
Ni 58.69 Ni.upf
ATOMIC_POSITIONS crystal
Sn 0.0000 0.0000 0.0000
Ca 0.0000 0.0000 0.5000
In 0.5000 0.5000 0.7485
Ni 0.0000 0.5000 0.0000
Ni 0.5000 0.0000 0.0000
In 0.5000 0.5000 0.2515
CELL_PARAMETERS angstrom
-3.5943 -2.9277 1.0089
0.6954 -2.2693 -4.1079
3.8995 -3.8308 2.7763

***

Record 4
! Ca2InNi4Sn3 (PBE, optimized geometry); values from VASP
! symmetry: P-4m2
! energy relative to the elements: -369.2 meV/atom
! volume: 20.30 Å³ per atom
&SYSTEM
  ibrav = 0, nat = 10, ntyp = 4
/
ATOMIC_SPECIES
Sn 118.71 Sn.upf
Ni 58.69 Ni.upf
Ca 40.08 Ca.upf
In 114.82 In.upf
ATOMIC_POSITIONS crystal
Sn 0.0000 0.0000 0.5000
Ni 0.5000 0.0000 0.6305
Ni 0.0000 0.5000 0.3695
Sn 0.0000 0.5000 0.1207
Sn 0.5000 0.0000 0.8793
Ni 0.5000 0.5000 0.0000
Ca 0.0000 0.5000 0.7625
Ca 0.5000 0.0000 0.2375
In 0.5000 0.5000 0.5000
Ni 0.0000 0.0000 0.0000
CELL_PARAMETERS angstrom
4.4887 0.0000 0.0000
0.0000 4.4887 0.0000
0.0000 0.0000 10.0741

***

Record 5
! Sr2CaIn12Ni3 (PBE, optimized geometry); values from VASP
! symmetry: R-3m
! energy relative to the elements: -61.3 meV/atom
! volume: 28.93 Å³ per atom
&SYSTEM
  ibrav = 0, nat = 18, ntyp = 4
/
ATOMIC_SPECIES
In 114.82 In.upf
Ni 58.69 Ni.upf
Sr 87.62 Sr.upf
Ca 40.08 Ca.upf
ATOMIC_POSITIONS crystal
In 0.2745 0.8901 0.2745
Ni 0.5000 0.0000 0.0000
In 0.2745 0.2745 0.8901
In 0.7255 0.1099 0.7255
Ni 0.0000 0.0000 0.5000
Sr 0.5875 0.5875 0.5875
Ca 0.0000 0.0000 0.0000
In 0.5438 0.1584 0.1584
In 0.8416 0.4562 0.8416
In 0.1099 0.7255 0.7255
In 0.1584 0.5438 0.1584
In 0.4562 0.8416 0.8416
In 0.7255 0.7255 0.1099
Sr 0.4125 0.4125 0.4125
In 0.8416 0.8416 0.4562
In 0.1584 0.1584 0.5438
Ni 0.0000 0.5000 0.0000
In 0.8901 0.2745 0.2745
CELL_PARAMETERS angstrom
8.7498 -0.3056 -0.2168
4.0553 7.7593 -0.2168
4.0553 2.3605 7.3947

***

Record 6
! Ca2InTcNi (PBE, optimized geometry); values from VASP
! symmetry: P4/mmm
! energy relative to the elements: 551.2 meV/atom
! volume: 27.02 Å³ per atom
&SYSTEM
  ibrav = 0, nat = 5, ntyp = 4
/
ATOMIC_SPECIES
Ca 40.08 Ca.upf
Ni 58.69 Ni.upf
In 114.82 In.upf
Tc 98.00 Tc.upf
ATOMIC_POSITIONS crystal
Ca 0.0000 0.0000 0.5000
Ni 0.0000 0.5000 0.0000
Ca 0.5000 0.0000 0.0000
In 0.5000 0.5000 0.5000
Tc 0.0000 0.0000 0.0000
CELL_PARAMETERS angstrom
-1.0273 5.3976 -0.2038
-3.4357 -0.7579 -2.7557
-3.3628 -0.4768 4.3238

***

Record 7
! Ca2InNiTe (PBE, optimized geometry); values from VASP
! formation energy from raw total energies: -0.529 eV/atom
! symmetry: P4/mmm
! volume: 28.22 Å³ per atom
&SYSTEM
  ibrav = 0, nat = 5, ntyp = 4
/
ATOMIC_SPECIES
Te 127.60 Te.upf
Ni 58.69 Ni.upf
Ca 40.08 Ca.upf
In 114.82 In.upf
ATOMIC_POSITIONS crystal
Te 0.5000 0.5000 0.5000
Ni 0.0000 0.0000 0.0000
Ca 0.5000 0.0000 0.0000
Ca 0.0000 0.5000 0.0000
In 0.0000 0.0000 0.5000
CELL_PARAMETERS angstrom
-4.5777 -0.3634 -2.8314
2.5344 -2.9799 -3.7150
-1.1808 -4.0288 2.4261

***

Record 8
! Ca2TlInNi (PBE, optimized geometry); values from VASP
! symmetry: P4/mmm
! energy relative to the elements: -221.4 meV/atom
! volume: 28.54 Å³ per atom
&SYSTEM
  ibrav = 0, nat = 5, ntyp = 4
/
ATOMIC_SPECIES
In 114.82 In.upf
Ca 40.08 Ca.upf
Ni 58.69 Ni.upf
Tl 204.38 Tl.upf
ATOMIC_POSITIONS crystal
In 0.0000 0.0000 0.5000
Ca 0.0000 0.5000 0.0000
Ni 0.0000 0.0000 0.0000
Tl 0.5000 0.5000 0.5000
Ca 0.5000 0.0000 0.0000
CELL_PARAMETERS angstrom
5.3787 0.0000 0.0000
0.0000 5.3787 0.0000
0.0000 0.0000 4.9329

***

Record 9
! CaTlIn2Ni (PBE, optimized geometry); values from VASP
! symmetry: P4/mmm
! energy relative to the elements: -127.3 meV/atom
! volume: 25.69 Å³ per atom
! distance to the lowest polymorph of the same formula: 0.0606 eV per atom
&SYSTEM
  ibrav = 0, nat = 5, ntyp = 4
/
ATOMIC_SPECIES
Ni 58.69 Ni.upf
Tl 204.38 Tl.upf
In 114.82 In.upf
Ca 40.08 Ca.upf
ATOMIC_POSITIONS crystal
Ni 0.0000 0.0000 0.0000
Tl 0.0000 0.0000 0.5000
In 0.0000 0.5000 0.0000
Ca 0.5000 0.5000 0.5000
In 0.5000 0.0000 0.0000
CELL_PARAMETERS angstrom
-0.2300 -4.8361 -1.2938
4.3105 -0.8499 2.4107
-2.5983 -1.0229 4.2854

***

Record 10
! CaTl2InNi (PBE, optimized geometry); values from VASP
! symmetry: P4/mmm
! energy relative to the elements: -68.8 meV/atom
! volume: 26.45 Å³ per atom
&SYSTEM
  ibrav = 0, nat = 5, ntyp = 4
/
ATOMIC_SPECIES
Tl 204.38 Tl.upf
Ni 58.69 Ni.upf
Ca 40.08 Ca.upf
In 114.82 In.upf
ATOMIC_POSITIONS crystal
Tl 0.0000 0.5000 0.0000
Ni 0.0000 0.0000 0.0000
Ca 0.5000 0.5000 0.5000
In 0.0000 0.0000 0.5000
Tl 0.5000 0.0000 0.0000
CELL_PARAMETERS angstrom
-0.6087 4.9262 1.2874
-0.5174 -1.3497 4.9200
4.9674 0.4454 0.6446

***

Record 11
! CaTlIn2Ni (PBE, optimized geometry); values from VASP
! symmetry: P4/mmm
! energy relative to the elements: -187.9 meV/atom
! volume: 26.56 Å³ per atom
! distance to the lowest polymorph of the same formula: 0.0000 eV per atom
&SYSTEM
  ibrav = 0, nat = 5, ntyp = 4
/
ATOMIC_SPECIES
Tl 204.38 Tl.upf
Ni 58.69 Ni.upf
Ca 40.08 Ca.upf
In 114.82 In.upf
ATOMIC_POSITIONS crystal
Tl 0.5000 0.5000 0.5000
Ni 0.0000 0.0000 0.0000
Ca 0.0000 0.0000 0.5000
In 0.0000 0.5000 0.0000
In 0.5000 0.0000 0.0000
CELL_PARAMETERS angstrom
4.9942 0.0000 0.0000
0.0000 4.9942 0.0000
0.0000 0.0000 5.3247

***

Record 12
! CaY2InNi (PBE, optimized geometry); values from VASP
! symmetry: P4/mmm
! energy relative to the elements: -188.8 meV/atom
! volume: 28.27 Å³ per atom
&SYSTEM
  ibrav = 0, nat = 5, ntyp = 4
/
ATOMIC_SPECIES
Ca 40.08 Ca.upf
Ni 58.69 Ni.upf
In 114.82 In.upf
Y 88.91 Y.upf
ATOMIC_POSITIONS crystal
Ca 0.5000 0.5000 0.5000
Ni 0.0000 0.0000 0.0000
In 0.0000 0.0000 0.5000
Y 0.5000 0.0000 0.0000
Y 0.0000 0.5000 0.0000
CELL_PARAMETERS angstrom
-1.6932 0.2251 4.9960
1.0964 -5.1295 0.6027
4.6858 1.1819 1.5348

***

- What is the formula in the sixth record?
  Ca2InTcNi